ZnMoP2O | meta-GGA SCAN | single point on PBEsol structure

```
data_ZnMoP2O
_chemical_formula_sum 'Zn1 Mo1 P2 O1'
_symmetry_space_group_name_H-M 'P 1'
_symmetry_Int_Tables_number 1
_symmetry_space_group_name_Hall 'P 1'
_cell_length_a 3.489
_cell_length_b 4.651
_cell_length_c 4.651
_cell_angle_alpha 90.00
_cell_angle_beta 90.00
_cell_angle_gamma 90.00
loop_
_atom_site_label
_atom_site_type_symbol
_atom_site_fract_x
_atom_site_fract_y
_atom_site_fract_z
_atom_site_occupancy
P1 P 0.000 0.000 0.500 1
P2 P 0.000 0.500 0.000 1
Mo1 Mo 0.500 0.500 0.500 1
Zn1 Zn 0.000 0.000 0.000 1
O1 O 0.500 0.000 0.000 1
```

symmetry	No. 123
E	-71.9	eV per cell
raw formation energy	0.714	eV per atom